*w*
{
  "formula": "GdHoSc2",
  "functional": "PBE",
  "state": "optimized geometry",
  "n_ef_per_ev_fu": 7.3,
  "cell": [[4.886, 0.000, 0.000], [0.000, 4.886, 0.000], [0.000, 0.000, 4.655]],
  "species": ["Gd", "Ho", "Sc", "Sc"],
  "fractional_positions": [[0.000, 0.000, 0.000], [0.500, 0.500, 0.000], [0.000, 0.500, 0.500], [0.500, 0.000, 0.500]]
}

*x*
{
  "formula": "GdHoSc2",
  "functional": "PBE",
  "state": "optimized geometry",
  "n_ef_per_ev_fu": 6.2,
  "cell": [[0.000, 3.820, 3.820], [3.820, 0.000, 3.820], [3.820, 3.820, 0.000]],
  "species": ["Gd", "Ho", "Sc", "Sc"],
  "fractional_positions": [[0.000, 0.000, 0.000], [0.500, 0.500, 0.500], [0.250, 0.250, 0.250], [0.750, 0.750, 0.750]]
}

The structure with the least stability is *x*.

*w*
{
  "formula": "GdHo2Si",
  "functional": "PBE",
  "state": "optimized geometry",
  "n_ef_per_ev_fu": 5.9,
  "cell": [[1.826, 1.054, 9.884], [-1.826, 1.054, 9.884], [0.000, -2.108, 9.884]],
  "species": ["Gd", "Ho", "Ho", "Si"],
  "fractional_positions": [[0.000, 0.000, 0.000], [0.231, 0.231, 0.231], [0.769, 0.769, 0.769], [0.500, 0.500, 0.500]]
}

*x*
{
  "formula": "GdHo2Si",
  "functional": "PBE",
  "state": "optimized geometry",
  "n_ef_per_ev_fu": 4.2,
  "cell": [[4.646, 0.000, 0.000], [0.000, 4.646, 0.000], [0.000, 0.000, 4.589]],
  "species": ["Gd", "Ho", "Ho", "Si"],
  "fractional_positions": [[0.000, 0.000, 0.000], [0.000, 0.500, 0.500], [0.500, 0.000, 0.500], [0.500, 0.500, 0.000]]
}

The structure with the least stability is *w*.

*w*
{
  "formula": "SmGdHo2",
  "functional": "PBE",
  "state": "optimized geometry",
  "n_ef_per_ev_fu": 6.1,
  "cell": [[3.569, 0.000, 0.000], [0.000, 3.569, 0.000], [0.000, 0.000, 10.055]],
  "species": ["Sm", "Gd", "Ho", "Ho"],
  "fractional_positions": [[0.000, 0.000, 0.000], [0.000, 0.000, 0.500], [0.500, 0.500, 0.251], [0.500, 0.500, 0.749]]
}

*x*
{
  "formula": "SmGdHo2",
  "functional": "PBE",
  "state": "optimized geometry",
  "n_ef_per_ev_fu": 6.4,
  "cell": [[5.049, 0.000, 0.000], [0.000, 5.049, 0.000], [0.000, 0.000, 5.015]],
  "species": ["Sm", "Gd", "Ho", "Ho"],
  "fractional_positions": [[0.000, 0.000, 0.000], [0.500, 0.500, 0.000], [0.000, 0.500, 0.500], [0.500, 0.000, 0.500]]
}

*y*
{
  "formula": "SmGdHo2",
  "functional": "PBE",
  "state": "optimized geometry",
  "n_ef_per_ev_fu": 8.7,
  "cell": [[0.000, 4.017, 4.017], [4.017, 0.000, 4.017], [4.017, 4.017, 0.000]],
  "species": ["Sm", "Gd", "Ho", "Ho"],
  "fractional_positions": [[0.000, 0.000, 0.000], [0.500, 0.500, 0.500], [0.250, 0.250, 0.250], [0.750, 0.750, 0.750]]
}

The structure with the least stability is *y*.

*w*
{
  "formula": "GdHo2Sn",
  "functional": "PBE",
  "state": "optimized geometry",
  "n_ef_per_ev_fu": 4.7,
  "cell": [[4.830, 0.000, 0.000], [0.000, 4.830, 0.000], [0.000, 0.000, 4.762]],
  "species": ["Gd", "Ho", "Ho", "Sn"],
  "fractional_positions": [[0.000, 0.000, 0.000], [0.000, 0.500, 0.500], [0.500, 0.000, 0.500], [0.500, 0.500, 0.000]]
}

*x*
{
  "formula": "GdHo2Sn",
  "functional": "PBE",
  "state": "optimized geometry",
  "n_ef_per_ev_fu": 4.9,
  "cell": [[4.114, 0.000, 0.000], [0.000, 4.114, 0.000], [0.000, 0.000, 6.784]],
  "species": ["Gd", "Ho", "Ho", "Sn"],
  "fractional_positions": [[0.000, 0.000, 0.000], [0.500, 0.500, 0.271], [0.500, 0.500, 0.729], [0.000, 0.000, 0.500]]
}

*y*
{
  "formula": "GdHo2Sn",
  "functional": "PBE",
  "state": "optimized geometry",
  "n_ef_per_ev_fu": 5.1,
  "cell": [[1.738, 1.003, 11.642], [-1.738, 1.003, 11.642], [0.000, -2.007, 11.642]],
  "species": ["Gd", "Ho", "Ho", "Sn"],
  "fractional_positions": [[0.000, 0.000, 0.000], [0.095, 0.095, 0.095], [0.905, 0.905, 0.905], [0.500, 0.500, 0.500]]
}

The structure with the least stability is *y*.